DFT (PBE-GGA) results for a relaxed BaSr2CaF crystal.

a = 5.503 Å, b = 5.503 Å, c = 6.514 Å
α = 90.00°, β = 90.00°, γ = 90.00°
Positions (direct):
Ba1 0.000 0.000 0.000
Sr1 0.000 0.500 0.500
Sr2 0.500 0.000 0.500
Ca1 0.500 0.500 0.000
F1 0.000 0.000 0.500

Summary:
crystal system	tetragonal
magnetic moment	0.00	μB/f.u.
density of states at the Fermi level	0.857	states/eV/atom
uncorrected energy	-2.85	eV/atom